Ca2TlCrMo | PBEsol | relaxed

Results
- Formation energy: 769 meV per atom
- Volume: 27.429 A^3/atom

Unit cell a=5.6406 b=5.6406 c=4.3105 alpha=90.00 beta=90.00 gamma=90.00
Space group P4/mmm (No. 123)
Symmetry-distinct sites (fractional):
Ca: 0.0000 0.5000 0.0000
Tl: 0.0000 0.0000 0.5000
Cr: 0.5000 0.5000 0.0000
Mo: 0.5000 0.5000 0.5000

ZrAs | PBEsol | relaxed

Results
- Formation energy: -1148 meV per atom
- Volume: 19.742 A^3/atom

Unit cell a=5.4054 b=5.4054 c=5.4054 alpha=90.00 beta=90.00 gamma=90.00
Space group Fm-3m (No. 225)
Symmetry-distinct sites (fractional):
Zr: 0.0000 0.0000 0.0000
As: 0.0000 0.0000 0.5000

AlRuCl | PBEsol | relaxed

Results
- Volume: 15.569 A^3/atom
- Uncorrected formation energy: 0.035 eV per atom

Unit cell a=3.0458 b=5.0386 c=12.1734 alpha=90.00 beta=90.00 gamma=90.00
Space group Fmm2 (No. 42)
Symmetry-distinct sites (fractional):
Al: 0.0000 0.0000 0.0000
Ru: 0.0000 0.0000 0.6480
Cl: 0.0000 0.0000 0.3475

HfSb2Ru | PBEsol | relaxed

Results
- Volume: 21.277 A^3/atom
- Uncorrected formation energy: 0.146 eV per atom

Unit cell a=4.2410 b=4.2410 c=18.9274 alpha=90.00 beta=90.00 gamma=90.00
Space group I-42d (No. 122)
Symmetry-distinct sites (fractional):
Hf: 0.0000 0.0000 0.0000
Sb: 0.2301 0.2500 0.6250
Ru: 0.0000 0.0000 0.5000